[1]
Material: Na3CrC
Method: DFT, PBE-GGA
State: relaxed

Cell: 5.7727 5.7727 5.7727 Å, 90.00 90.00 90.00°
Space group Pm-3m (No. 221)
Unique sites:
Na 0.0000 0.0000 0.5000 (multiplicity 3)
Cr 0.0000 0.0000 0.0000 (multiplicity 1)
C 0.5000 0.5000 0.5000 (multiplicity 1)

The total energy comes out at -13.09 eV for the cell shown. The value obtained for the formation energy is 1.94 eV/atom. For the volume, the calculation gives 192.4 Å³ per cell.

[2]
Material: NaCrC2
Method: DFT, PBE-GGA
State: relaxed

Cell: 5.2004 5.2004 9.5332 Å, 90.00 90.00 90.00°
Space group I-42d (No. 122)
Unique sites:
Na 0.0000 0.0000 0.0000 (multiplicity 4)
Cr 0.0000 0.0000 0.5000 (multiplicity 4)
C 0.0757 0.2500 0.6250 (multiplicity 8)

The distance to the lowest polymorph of the same formula comes out at 0.0 meV per atom. The total energy comes out at -104.69 eV for the cell shown. The value obtained for the formation energy is 0.80 eV/atom. For the volume, the calculation gives 257.8 Å³ per cell.